The following is a DFT calculation (PBE-GGA) of CaV3Ru after structural relaxation. Values from VASP.

```
&SYSTEM
  ibrav = 0, nat = 5, ntyp = 3
/
ATOMIC_SPECIES
V 50.94 V.upf
Ru 101.07 Ru.upf
Ca 40.08 Ca.upf
CELL_PARAMETERS angstrom
4.2821 0.0000 0.0000
0.0000 4.2821 0.0000
0.0000 0.0000 4.2821
ATOMIC_POSITIONS crystal
V 0.0000 0.5000 0.0000
V 0.5000 0.0000 0.0000
V 0.0000 0.0000 0.5000
Ru 0.5000 0.5000 0.5000
Ca 0.0000 0.0000 0.0000
```

## Properties
E above lowest polymorph = 1514.2 meV per atom
DOS at the Fermi energy = 1.70 states/eV/atom
E = -0.202 hartree per atom
energy relative to the elements = 2235.7 meV per atom